[1]
Below is an optimized crystal structure of CuSbCl3, with properties calculated at the PBE level.

a = 4.7608 Å, b = 4.7608 Å, c = 4.7608 Å
α = 90.00°, β = 90.00°, γ = 90.00°
With the nearest neighbours (Å) after each atom.
Fractional positions:
Cu: 0.0000 0.0000 0.0000  6 Cl 2.38
Sb: 0.5000 0.5000 0.5000  12 Cl 3.37
Cl: 0.0000 0.0000 0.5000  2 Cu 2.38
Cl: 0.0000 0.5000 0.0000  2 Cu 2.38
Cl: 0.5000 0.0000 0.0000  2 Cu 2.38

Results
total moment	0.00	μB per formula unit
polymorph energy (0 for the lowest one)	0.000	eV/atom
SG	Pm-3m
D(E_F)	0.64	states/eV/atom
ΔE_f (raw)	-0.137	eV/atom

---

[2]
Below is an optimized crystal structure of OsPtSe2, with properties calculated at the PBE level.

a = 6.6453 Å, b = 6.6453 Å, c = 4.7343 Å
α = 95.09°, β = 95.09°, γ = 25.56°
With the nearest neighbours (Å) after each atom.
Fractional positions:
Os: 0.0000 0.0000 0.0000  4 Se 2.51, 4 Pt 2.79
Pt: 0.5000 0.5000 0.5000  2 Se 2.47
Se: 0.3544 0.3544 0.8007  1 Pt 2.47, 2 Os 2.51
Se: 0.6456 0.6456 0.1993  1 Pt 2.47, 2 Os 2.51

Results
total moment	0.00	μB per formula unit
polymorph energy (0 for the lowest one)	0.012	eV/atom
SG	C2/m
D(E_F)	1.02	states/eV/atom
ΔE_f (raw)	0.177	eV/atom

---

[3]
Below is an optimized crystal structure of K2SmYTe4, with properties calculated at the PBE level.

a = 7.8561 Å, b = 4.5366 Å, c = 8.6555 Å
α = 90.00°, β = 107.61°, γ = 90.00°
With the nearest neighbours (Å) after each atom.
Fractional positions:
K: 0.0000 0.0000 0.0000  6 Te 3.56
K: 0.5000 0.5000 0.0000  6 Te 3.53
Sm: 0.0000 0.5000 0.5000  6 Te 3.16
Y: 0.5000 0.0000 0.5000  6 Te 3.12-3.13
Te: 0.2410 0.0000 0.7115  1 Y 3.12, 2 Sm 3.16
Te: 0.2675 0.5000 0.2904  2 Y 3.13, 1 Sm 3.16
Te: 0.7325 0.5000 0.7096  2 Y 3.13, 1 Sm 3.16
Te: 0.7590 0.0000 0.2885  1 Y 3.12, 2 Sm 3.16

Results
total moment	0.00	μB per formula unit
SG	P2/m
ΔE_f (raw)	-1.412	eV/atom

---

[4]
Below is an optimized crystal structure of LuHRh3, with properties calculated at the PBE level.

a = 4.0421 Å, b = 4.0421 Å, c = 4.0421 Å
α = 90.00°, β = 90.00°, γ = 90.00°
With the nearest neighbours (Å) after each atom.
Fractional positions:
Lu: 0.0000 0.0000 0.0000  12 Rh 2.86
H: 0.5000 0.5000 0.5000  6 Rh 2.02
Rh: 0.0000 0.5000 0.5000  2 H 2.02
Rh: 0.5000 0.0000 0.5000  2 H 2.02
Rh: 0.5000 0.5000 0.0000  2 H 2.02

Results
total moment	0.00	μB per formula unit
SG	Pm-3m
VASP energy	-32.828	eV/cell
D(E_F)	0.80	states/eV/atom

---

[5]
Below is an optimized crystal structure of NdTm5Hg3, with properties calculated at the PBE level.

a = 9.0174 Å, b = 9.0174 Å, c = 6.8873 Å
α = 90.00°, β = 90.00°, γ = 120.00°
With the nearest neighbours (Å) after each atom.
Fractional positions:
Nd: 0.0000 0.0000 0.0000  2 Nd 3.44, 6 Tm 3.46, 6 Hg 3.51
Nd: 0.0000 0.0000 0.5000  2 Nd 3.44, 6 Tm 3.46, 6 Hg 3.51
Tm: 0.0000 0.3331 0.2500  3 Hg 2.96-3.03
Tm: 0.0000 0.6669 0.7500  3 Hg 2.96-3.03
Tm: 0.3331 0.0000 0.2500  3 Hg 2.96-3.03
Tm: 0.3331 0.3331 0.7500  3 Hg 2.96-3.03
Tm: 0.3333 0.6667 0.0000  6 Hg 3.44, 8 Tm 3.44-3.46
Tm: 0.3333 0.6667 0.5000  6 Hg 3.44, 8 Tm 3.44-3.46
Tm: 0.6669 0.0000 0.7500  3 Hg 2.96-3.03
Tm: 0.6667 0.3333 0.0000  6 Hg 3.44, 8 Tm 3.44-3.46
Tm: 0.6667 0.3333 0.5000  6 Hg 3.44, 8 Tm 3.44-3.46
Tm: 0.6669 0.6669 0.2500  3 Hg 2.96-3.03
Hg: 0.0000 0.3386 0.7500  3 Tm 2.96-3.03
Hg: 0.0000 0.6614 0.2500  3 Tm 2.96-3.03
Hg: 0.3386 0.0000 0.7500  3 Tm 2.96-3.03
Hg: 0.3386 0.3386 0.2500  3 Tm 2.96-3.03
Hg: 0.6614 0.0000 0.2500  3 Tm 2.96-3.03
Hg: 0.6614 0.6614 0.7500  3 Tm 2.96-3.03

Results
total moment	0.00	μB per formula unit
E_form	-0.294	eV/atom
SG	P6_3/mcm
D(E_F)	0.70	states/eV/atom

---

[6]
Below is an optimized crystal structure of Ge2PdPt, with properties calculated at the PBE level.

a = 8.7295 Å, b = 8.7295 Å, c = 8.7295 Å
α = 152.60°, β = 152.60°, γ = 39.13°
With the nearest neighbours (Å) after each atom.
Fractional positions:
Ge: 0.1243 0.6250 0.9993  2 Pt 2.52, 2 Pd 2.52
Ge: 0.3750 0.3743 0.4993  2 Pt 2.52, 2 Pd 2.52
Ge: 0.6257 0.1250 0.0007  2 Pt 2.52, 2 Pd 2.52
Ge: 0.8750 0.8757 0.5007  2 Pt 2.52, 2 Pd 2.52
Pd: 0.2500 0.7500 0.5000  4 Ge 2.52
Pd: 0.5000 0.5000 0.0000  4 Ge 2.52
Pt: 0.0000 0.0000 0.0000  4 Ge 2.52
Pt: 0.7500 0.2500 0.5000  4 Ge 2.52

Results
total moment	0.00	μB per formula unit
polymorph energy (0 for the lowest one)	0.151	eV/atom
E_form	-0.269	eV/atom
SG	I-42d
D(E_F)	0.42	states/eV/atom

---

[7]
Below is an optimized crystal structure of Ca2La8Tb3, with properties calculated at the PBE level.

a = 10.2212 Å, b = 10.2212 Å, c = 6.6173 Å
α = 103.42°, β = 103.42°, γ = 45.71°
With the nearest neighbours (Å) after each atom.
Fractional positions:
Ca: 0.1552 0.1552 0.2736  12 La 3.66-4.10, 2 Tb 3.88
Ca: 0.8448 0.8448 0.7264  12 La 3.66-4.10, 2 Tb 3.88
La: 0.0386 0.0386 0.7197  3 La 2.91-3.23, 2 Tb 3.24
La: 0.1048 0.5572 0.2258  2 La 3.23-3.59
La: 0.3312 0.3312 0.7191  3 Tb 3.60-3.81, 6 La 3.72-3.84, 3 Ca 3.84-3.98
La: 0.4428 0.8952 0.7742  2 La 3.23-3.59
La: 0.5572 0.1048 0.2258  2 La 3.23-3.59
La: 0.6688 0.6688 0.2809  3 Tb 3.60-3.81, 6 La 3.72-3.84, 3 Ca 3.84-3.98
La: 0.8952 0.4428 0.7742  2 La 3.23-3.59
La: 0.9614 0.9614 0.2803  3 La 2.91-3.23, 2 Tb 3.24
Tb: 0.3050 0.6950 0.0000  1 Tb 3.10, 2 La 3.24
Tb: 0.5000 0.5000 0.5000  4 Tb 3.65, 6 La 3.71-3.81
Tb: 0.6950 0.3050 0.0000  1 Tb 3.10, 2 La 3.24

Results
total moment	0.00	μB per formula unit
E_form	0.164	eV/atom
SG	C2/m
D(E_F)	1.46	states/eV/atom